First-principles (PBE-GGA) data for crystalline LaHoHf at its relaxed geometry, as listed in Alexandria.

Computed properties:
E_form = 0.107 eV/atom
Fermi-level density of states = 9.8 states/eV/cell
space group = P4/nmm (129)
total DFT energy (no corrections) = -38.3 eV/cell

a = 3.7734 Å, b = 3.7734 Å, c = 12.8275 Å
α = 90.00°, β = 90.00°, γ = 90.00°
Fractional coordinates of all 6 atoms:
La: 0.0000 0.5000 0.5989
La: 0.5000 0.0000 0.4011
Ho: 0.5000 0.0000 0.8014
Ho: 0.0000 0.5000 0.1986
Hf: 0.0000 0.5000 0.9487
Hf: 0.5000 0.0000 0.0513

=====

First-principles (PBE-GGA) data for crystalline YCuPb at its relaxed geometry, as listed in Alexandria.

Computed properties:
E_form = -0.357 eV/atom
Fermi-level density of states = 1.8 states/eV/cell
space group = P-6m2 (187)
total DFT energy (no corrections) = -30.7 eV/cell

a = 7.5076 Å, b = 4.6170 Å, c = 4.6164 Å
α = 59.99°, β = 90.00°, γ = 90.00°
Fractional coordinates of all 6 atoms:
Y: 0.0419 0.8455 0.2255
Y: 0.5419 0.8456 0.2253
Pb: 0.3094 0.5122 0.8922
Pb: 0.7744 0.5122 0.8921
Cu: 0.2183 0.1789 0.5591
Cu: 0.8651 0.1789 0.5588

=====

First-principles (PBE-GGA) data for crystalline RbSm4S6 at its relaxed geometry, as listed in Alexandria.

Computed properties:
Fermi-level density of states = 2.9 states/eV/cell
space group = I-42m (121)
total DFT energy (no corrections) = -62.6 eV/cell
formation energy from raw total energies = -1.63 eV per atom

a = 7.3535 Å, b = 7.3535 Å, c = 7.3535 Å
α = 97.64°, β = 115.69°, γ = 115.69°
Fractional coordinates of all 11 atoms:
Rb: 0.0000 0.0000 0.0000
Sm: 0.0000 0.1987 0.5855
Sm: 0.6133 0.4145 0.4145
Sm: 0.0000 0.5855 0.1987
Sm: 0.3867 0.8013 0.8013
S: 0.0000 0.8284 0.5339
S: 0.0000 0.5339 0.8284
S: 0.7056 0.1716 0.1716
S: 0.5000 0.0000 0.5000
S: 0.2944 0.4661 0.4661
S: 0.5000 0.5000 0.0000

=====

First-principles (PBE-GGA) data for crystalline Nd4AgPt3 at its relaxed geometry, as listed in Alexandria.

Computed properties:
E_form = -0.927 eV/atom
Fermi-level density of states = 5.0 states/eV/cell
space group = Pmm2 (25)
total DFT energy (no corrections) = -47.5 eV/cell

a = 3.9078 Å, b = 4.6749 Å, c = 10.9651 Å
α = 90.00°, β = 90.00°, γ = 90.00°
Fractional coordinates of all 8 atoms:
Nd: 0.5000 0.5000 0.3725
Nd: 0.0000 0.5000 0.8540
Nd: 0.0000 0.0000 0.1391
Nd: 0.5000 0.0000 0.6374
Pt: 0.0000 0.5000 0.5885
Pt: 0.0000 0.0000 0.4110
Pt: 0.5000 0.0000 0.9163
Ag: 0.5000 0.5000 0.0813

=====

First-principles (PBE-GGA) data for crystalline Fe2SbBr at its relaxed geometry, as listed in Alexandria.

Computed properties:
Fermi-level density of states = 2.6 states/eV/cell
space group = Imm2 (44)
total DFT energy (no corrections) = -21.7 eV/cell
formation energy from raw total energies = 0.25 eV per atom

a = 8.0957 Å, b = 8.0957 Å, c = 8.0957 Å
α = 156.51°, β = 154.13°, γ = 35.22°
Fractional coordinates of all 4 atoms:
Br: 0.2421 0.7421 0.5000
Fe: 0.9370 0.9370 0.0000
Fe: 0.8239 0.3239 0.5000
Sb: 0.4970 0.4970 0.0000

=====

First-principles (PBE-GGA) data for crystalline Ce7SbPb3 at its relaxed geometry, as listed in Alexandria.

Computed properties:
Fermi-level density of states = 32.3 states/eV/cell
space group = Immm (71)
total DFT energy (no corrections) = -60.5 eV/cell
formation energy from raw total energies = -0.34 eV per atom

a = 6.1426 Å, b = 8.2489 Å, c = 8.2489 Å
α = 95.53°, β = 111.89°, γ = 111.89°
Fractional coordinates of all 11 atoms:
Ce: 0.1497 0.1493 0.1493
Ce: 0.3564 0.1040 0.6088
Ce: 0.6436 0.3912 0.8960
Ce: 0.3564 0.6088 0.1040
Ce: 0.0000 0.5000 0.5000
Ce: 0.6436 0.8960 0.3912
Ce: 0.8503 0.8507 0.8507
Sb: 0.5000 0.5000 0.5000
Pb: 0.0000 0.7598 0.2402
Pb: 0.5000 0.0000 0.0000
Pb: 0.0000 0.2402 0.7598

=====

> The highest total DFT energy (no corrections) belongs to which entry?

Fe2SbBr

=====

> The highest Fermi-level density of states belongs to which entry?

Ce7SbPb3

=====

> Among the records above, which one has the lowest Fermi-level density of states?

YCuPb